Li3Mn8O16: optimized geometry, GGA-PBEsol.

abc: 5.687 5.687 8.040
angles: 90.00 90.00 90.00
Last column: magnetic moment on the atom in μB.
Positions (direct):
Mn (0.749, 0.500, 0.627)  2.48
Mn (0.000, 0.253, 0.875)  2.52
Mn (0.747, 0.000, 0.125)  2.52
Mn (0.500, 0.251, 0.373)  2.48
Mn (0.500, 0.749, 0.373)  2.48
Mn (0.000, 0.747, 0.875)  2.52
Mn (0.251, 0.500, 0.627)  2.48
Mn (0.253, 0.000, 0.125)  2.52
Li (0.000, 0.500, 0.246)  0.01
Li (0.000, 0.000, 0.500)  0.01
Li (0.500, 0.000, 0.754)  0.01
O (0.000, 0.776, 0.112)  0.03
O (0.778, 0.500, 0.861)  0.04
O (0.776, 0.000, 0.888)  0.03
O (0.500, 0.222, 0.139)  0.04
O (0.500, 0.725, 0.612)  0.03
O (0.725, 0.500, 0.388)  0.03
O (0.000, 0.224, 0.112)  0.03
O (0.000, 0.725, 0.637)  0.02
O (0.275, 0.000, 0.363)  0.02
O (0.500, 0.275, 0.612)  0.03
O (0.500, 0.778, 0.139)  0.04
O (0.224, 0.000, 0.888)  0.03
O (0.222, 0.500, 0.861)  0.04
O (0.725, 0.000, 0.363)  0.02
O (0.000, 0.275, 0.637)  0.02
O (0.275, 0.500, 0.388)  0.03

Output
The value obtained for the density of states at the Fermi level is 5.9 states/eV/f.u. The total magnetization comes out at 0.78 μB per atom. Its raw formation energy is -1.8044 eV per atom. The total energy comes out at -8.026 eV per atom. The space group is P-4m2, No. 115.